1.
! PBE-GGA CsYOF2, optimized geometry; values from VASP
! Space group: No. 123
&SYSTEM
  ibrav = 0, nat = 5, ntyp = 4
/
ATOMIC_SPECIES
Cs 132.91 Cs.upf
Y 88.91 Y.upf
O 16.00 O.upf
F 19.00 F.upf
CELL_PARAMETERS angstrom
4.637 0.000 0.000
0.000 4.637 0.000
0.000 0.000 4.386
ATOMIC_POSITIONS angstrom
Cs 0.000 0.000 0.000
Y 2.318 2.318 2.193
O 2.318 2.318 0.000
F 0.000 2.318 2.193
F 2.318 0.000 2.193


2.
! PBE-GGA CsZnO2F, optimized geometry; values from VASP
! Space group: No. 123
&SYSTEM
  ibrav = 0, nat = 5, ntyp = 4
/
ATOMIC_SPECIES
Cs 132.91 Cs.upf
Zn 65.41 Zn.upf
O 16.00 O.upf
F 19.00 F.upf
CELL_PARAMETERS angstrom
4.405 0.000 0.000
0.000 4.405 0.000
0.000 0.000 5.337
ATOMIC_POSITIONS angstrom
Cs 0.000 0.000 0.000
Zn 2.202 2.202 2.668
O 0.000 2.202 0.000
O 2.202 0.000 0.000
F 0.000 0.000 2.668


3.
! PBE-GGA CsZrO2F, optimized geometry; values from VASP
! Space group: No. 123
&SYSTEM
  ibrav = 0, nat = 5, ntyp = 4
/
ATOMIC_SPECIES
Cs 132.91 Cs.upf
Zr 91.22 Zr.upf
O 16.00 O.upf
F 19.00 F.upf
CELL_PARAMETERS angstrom
4.228 0.000 0.000
0.000 4.228 0.000
0.000 0.000 4.583
ATOMIC_POSITIONS angstrom
Cs 0.000 0.000 0.000
Zr 2.114 2.114 2.292
O 0.000 2.114 2.292
O 2.114 0.000 2.292
F 2.114 2.114 0.000


4.
! PBE-GGA CsZrO2F, optimized geometry; values from VASP
! Space group: No. 123
&SYSTEM
  ibrav = 0, nat = 5, ntyp = 4
/
ATOMIC_SPECIES
Cs 132.91 Cs.upf
Zr 91.22 Zr.upf
O 16.00 O.upf
F 19.00 F.upf
CELL_PARAMETERS angstrom
4.537 0.000 0.000
0.000 4.537 0.000
0.000 0.000 5.059
ATOMIC_POSITIONS angstrom
Cs 0.000 0.000 0.000
Zr 2.269 2.269 2.529
O 0.000 2.269 0.000
O 2.269 0.000 0.000
F 0.000 0.000 2.529


5.
! PBE-GGA CsOs3F, optimized geometry; values from VASP
! Excess energy over the best structure of this formula in the dataset in kJ/mol of atoms: 139.9
! Space group: No. 221
&SYSTEM
  ibrav = 0, nat = 5, ntyp = 3
/
ATOMIC_SPECIES
Cs 132.91 Cs.upf
Os 190.23 Os.upf
F 19.00 F.upf
CELL_PARAMETERS angstrom
5.064 0.000 0.000
0.000 5.064 0.000
0.000 0.000 5.064
ATOMIC_POSITIONS angstrom
Cs 0.000 0.000 0.000
Os 0.000 0.000 2.532
Os 0.000 2.532 0.000
Os 2.532 0.000 0.000
F 2.532 2.532 2.532


6.
! PBE-GGA Cs2OsF, optimized geometry; values from VASP
! Excess energy over the best structure of this formula in the dataset in kJ/mol of atoms: 0.0
! Space group: No. 122
&SYSTEM
  ibrav = 0, nat = 8, ntyp = 3
/
ATOMIC_SPECIES
Cs 132.91 Cs.upf
Os 190.23 Os.upf
F 19.00 F.upf
CELL_PARAMETERS angstrom
-4.241 4.241 4.931
4.241 -4.241 4.931
4.241 4.241 -4.931
ATOMIC_POSITIONS angstrom
Cs 6.361 1.412 -1.233
Cs 1.412 2.120 1.233
Cs -2.120 2.829 3.698
Cs 2.829 2.120 6.164
Os 4.241 0.000 2.466
Os 0.000 0.000 4.931
F 0.000 0.000 0.000
F 0.000 4.241 2.466


7.
! PBE-GGA Cs2OsF7, optimized geometry; values from VASP
! Space group: No. 15
&SYSTEM
  ibrav = 0, nat = 20, ntyp = 3
/
ATOMIC_SPECIES
Cs 132.91 Cs.upf
Os 190.23 Os.upf
F 19.00 F.upf
CELL_PARAMETERS angstrom
7.630 -3.344 0.000
7.630 3.344 0.000
-7.455 0.000 7.808
ATOMIC_POSITIONS angstrom
Cs 0.644 0.421 2.063
Cs -3.084 -0.421 5.967
Cs 10.889 0.421 1.841
Cs 7.162 -0.421 5.745
Os 5.766 0.260 1.952
Os 2.039 -0.260 5.856
F 5.766 2.249 1.952
F 2.131 1.351 4.691
F 6.273 0.853 0.174
F 3.848 0.273 1.413
F 1.947 1.351 7.021
F 0.120 -0.273 5.317
F 5.260 0.853 3.730
F 2.546 -0.853 4.078
F 7.685 0.273 2.491
F 5.858 -1.351 0.787
F 3.957 -0.273 6.395
F 1.532 -0.853 7.634
F 5.675 -1.351 3.117
F 2.039 -2.249 5.856


8.
! PBE-GGA Cs3OsF7, optimized geometry; values from VASP
! Space group: No. 127
&SYSTEM
  ibrav = 0, nat = 22, ntyp = 3
/
ATOMIC_SPECIES
Cs 132.91 Cs.upf
Os 190.23 Os.upf
F 19.00 F.upf
CELL_PARAMETERS angstrom
8.693 0.000 0.000
0.000 8.693 0.000
0.000 0.000 6.395
ATOMIC_POSITIONS angstrom
Cs 0.000 0.000 0.000
Cs 1.678 2.668 3.197
Cs 2.668 7.015 3.197
Cs 4.346 4.346 0.000
Cs 6.025 1.678 3.197
Cs 7.015 6.025 3.197
Os 0.000 4.346 0.000
Os 4.346 0.000 0.000
F 0.000 0.000 3.197
F 0.960 5.306 1.425
F 0.960 5.306 4.970
F 1.411 2.936 0.000
F 2.936 7.282 0.000
F 3.387 0.960 1.425
F 3.387 0.960 4.970
F 4.346 4.346 3.197
F 5.306 7.733 1.425
F 5.306 7.733 4.970
F 5.757 1.411 0.000
F 7.282 5.757 0.000
F 7.733 3.387 1.425
F 7.733 3.387 4.970


9.
! PBE-GGA CsOs3F, optimized geometry; values from VASP
! Excess energy over the best structure of this formula in the dataset in kJ/mol of atoms: 0.0
! Space group: No. 221
&SYSTEM
  ibrav = 0, nat = 5, ntyp = 3
/
ATOMIC_SPECIES
Cs 132.91 Cs.upf
Os 190.23 Os.upf
F 19.00 F.upf
CELL_PARAMETERS angstrom
4.638 0.000 0.000
0.000 4.638 0.000
0.000 0.000 4.638
ATOMIC_POSITIONS angstrom
Cs 0.000 0.000 0.000
Os 0.000 2.319 2.319
Os 2.319 0.000 2.319
Os 2.319 2.319 0.000
F 2.319 2.319 2.319


10.
! PBE-GGA CsOsF3, optimized geometry; values from VASP
! Space group: No. 221
&SYSTEM
  ibrav = 0, nat = 5, ntyp = 3
/
ATOMIC_SPECIES
Cs 132.91 Cs.upf
Os 190.23 Os.upf
F 19.00 F.upf
CELL_PARAMETERS angstrom
4.259 0.000 0.000
0.000 4.259 0.000
0.000 0.000 4.259
ATOMIC_POSITIONS angstrom
Cs 0.000 0.000 0.000
Os 2.129 2.129 2.129
F 0.000 2.129 2.129
F 2.129 0.000 2.129
F 2.129 2.129 0.000


11.
! PBE-GGA CsOs2F, optimized geometry; values from VASP
! Space group: No. 225
&SYSTEM
  ibrav = 0, nat = 4, ntyp = 3
/
ATOMIC_SPECIES
Cs 132.91 Cs.upf
Os 190.23 Os.upf
F 19.00 F.upf
CELL_PARAMETERS angstrom
0.000 3.237 3.237
3.237 0.000 3.237
3.237 3.237 0.000
ATOMIC_POSITIONS angstrom
Cs 0.000 0.000 0.000
Os 1.619 1.619 1.619
Os 4.856 4.856 4.856
F 3.237 3.237 3.237


12.
! PBE-GGA Cs2OsF, optimized geometry; values from VASP
! Excess energy over the best structure of this formula in the dataset in kJ/mol of atoms: 19.7
! Space group: No. 225
&SYSTEM
  ibrav = 0, nat = 4, ntyp = 3
/
ATOMIC_SPECIES
Cs 132.91 Cs.upf
Os 190.23 Os.upf
F 19.00 F.upf
CELL_PARAMETERS angstrom
0.000 4.184 4.184
4.184 0.000 4.184
4.184 4.184 0.000
ATOMIC_POSITIONS angstrom
Cs 2.092 2.092 2.092
Cs 6.276 6.276 6.276
Os 0.000 0.000 0.000
F 4.184 4.184 4.184


13.
! PBE-GGA CsOsPd2F, optimized geometry; values from VASP
! Space group: No. 123
&SYSTEM
  ibrav = 0, nat = 5, ntyp = 4
/
ATOMIC_SPECIES
Cs 132.91 Cs.upf
Os 190.23 Os.upf
Pd 106.42 Pd.upf
F 19.00 F.upf
CELL_PARAMETERS angstrom
4.723 0.000 0.000
0.000 4.723 0.000
0.000 0.000 8.168
ATOMIC_POSITIONS angstrom
Cs 0.000 0.000 0.000
Os 0.000 0.000 4.084
Pd 0.000 2.362 4.084
Pd 2.362 0.000 4.084
F 2.362 2.362 0.000


14.
! PBE-GGA Cs2OsPtF6, optimized geometry; values from VASP
! Space group: No. 139
&SYSTEM
  ibrav = 0, nat = 10, ntyp = 4
/
ATOMIC_SPECIES
Cs 132.91 Cs.upf
Os 190.23 Os.upf
Pt 195.08 Pt.upf
F 19.00 F.upf
CELL_PARAMETERS angstrom
-3.652 3.652 4.059
3.652 -3.652 4.059
3.652 3.652 -4.059
ATOMIC_POSITIONS angstrom
Cs 3.652 0.000 2.029
Cs 0.000 3.652 2.029
Os 0.000 0.000 0.000
Pt 0.000 0.000 4.059
F 1.401 1.401 0.000
F 2.252 -2.252 4.059
F 0.000 0.000 2.032
F 0.000 0.000 6.085
F -2.252 2.252 4.059
F 2.252 2.252 4.059


15.
! PBE-GGA CsRb2OsF6, optimized geometry; values from VASP
! Space group: No. 225
&SYSTEM
  ibrav = 0, nat = 10, ntyp = 4
/
ATOMIC_SPECIES
Cs 132.91 Cs.upf
Rb 85.47 Rb.upf
Os 190.23 Os.upf
F 19.00 F.upf
CELL_PARAMETERS angstrom
0.000 4.812 4.812
4.812 0.000 4.812
4.812 4.812 0.000
ATOMIC_POSITIONS angstrom
Cs 0.000 0.000 0.000
Rb 2.406 2.406 2.406
Rb 7.218 7.218 7.218
Os 4.812 4.812 4.812
F 4.812 4.812 2.765
F 4.812 2.765 4.812
F 6.859 4.812 4.812
F 2.765 4.812 4.812
F 4.812 6.859 4.812
F 4.812 4.812 6.859


16.
! PBE-GGA Cs2SbOsF6, optimized geometry; values from VASP
! Space group: No. 139
&SYSTEM
  ibrav = 0, nat = 10, ntyp = 4
/
ATOMIC_SPECIES
Cs 132.91 Cs.upf
Sb 121.76 Sb.upf
Os 190.23 Os.upf
F 19.00 F.upf
CELL_PARAMETERS angstrom
-3.069 3.069 5.796
3.069 -3.069 5.796
3.069 3.069 -5.796
ATOMIC_POSITIONS angstrom
Cs 3.069 0.000 2.898
Cs 0.000 3.069 2.898
Sb 0.000 0.000 0.000
Os 0.000 0.000 5.796
F 1.604 1.604 0.000
F 1.465 -1.465 5.796
F 0.000 0.000 3.757
F 0.000 0.000 7.834
F -1.465 1.465 5.796
F 1.465 1.465 5.796


17.
! PBE-GGA CsSr2OsF, optimized geometry; values from VASP
! Space group: No. 123
&SYSTEM
  ibrav = 0, nat = 5, ntyp = 4
/
ATOMIC_SPECIES
Cs 132.91 Cs.upf
Sr 87.62 Sr.upf
Os 190.23 Os.upf
F 19.00 F.upf
CELL_PARAMETERS angstrom
5.132 0.000 0.000
0.000 5.132 0.000
0.000 0.000 5.384
ATOMIC_POSITIONS angstrom
Cs 0.000 0.000 0.000
Sr 0.000 2.566 2.692
Sr 2.566 0.000 2.692
Os 2.566 2.566 0.000
F 0.000 0.000 2.692


18.
! PBE-GGA CsTaOs2F, optimized geometry; values from VASP
! Space group: No. 123
&SYSTEM
  ibrav = 0, nat = 5, ntyp = 4
/
ATOMIC_SPECIES
Cs 132.91 Cs.upf
Ta 180.95 Ta.upf
Os 190.23 Os.upf
F 19.00 F.upf
CELL_PARAMETERS angstrom
4.965 0.000 0.000
0.000 4.965 0.000
0.000 0.000 5.118
ATOMIC_POSITIONS angstrom
Cs 0.000 0.000 0.000
Ta 0.000 0.000 2.559
Os 0.000 2.482 0.000
Os 2.482 0.000 0.000
F 2.482 2.482 2.559


19.
! PBE-GGA Cs2TiOsF6, optimized geometry; values from VASP
! Space group: No. 139
&SYSTEM
  ibrav = 0, nat = 10, ntyp = 4
/
ATOMIC_SPECIES
Cs 132.91 Cs.upf
Ti 47.87 Ti.upf
Os 190.23 Os.upf
F 19.00 F.upf
CELL_PARAMETERS angstrom
-3.679 3.679 3.992
3.679 -3.679 3.992
3.679 3.679 -3.992
ATOMIC_POSITIONS angstrom
Cs 3.679 0.000 1.996
Cs 0.000 3.679 1.996
Ti 0.000 0.000 0.000
Os 0.000 0.000 3.992
F 1.354 1.354 0.000
F 2.326 -2.326 3.992
F 0.000 0.000 2.010
F 0.000 0.000 5.974
F -2.326 2.326 3.992
F 2.326 2.326 3.992


20.
! PBE-GGA CsTiOsF2, optimized geometry; values from VASP
! Space group: No. 123
&SYSTEM
  ibrav = 0, nat = 5, ntyp = 4
/
ATOMIC_SPECIES
Cs 132.91 Cs.upf
Ti 47.87 Ti.upf
Os 190.23 Os.upf
F 19.00 F.upf
CELL_PARAMETERS angstrom
4.195 0.000 0.000
0.000 4.195 0.000
0.000 0.000 6.074
ATOMIC_POSITIONS angstrom
Cs 0.000 0.000 0.000
Ti 2.097 2.097 0.000
Os 0.000 0.000 3.037
F 0.000 2.097 3.037
F 2.097 0.000 3.037


What did we get for ΔE_f (raw)? Answer: -3.252 0.237 -2.847 0.126 3.939 0.171 -2.206 -2.349 2.490 -1.203 2.312 0.376 0.510 -1.619 -2.153 -1.774 -0.221 3.640 -2.197 0.890 eV per atom, in the order shown.
What did we get for energy? Answer: -6.456 -2.546 -7.085 -4.112 -3.344 -3.531 -4.810 -4.793 -4.793 -4.742 -3.984 -3.326 -4.358 -4.640 -4.677 -4.603 -3.684 -3.767 -5.403 -3.854 eV per atom, in the order shown.
What did we get for magnetic moment? Answer: 0.00 0.00 0.00 2.01 6.79 6.00 2.01 4.00 7.00 0.00 0.00 3.00 0.45 2.00 1.00 1.00 0.77 2.28 2.00 0.00 Bohr magnetons per cell, in the order shown.